VASP calculation (GGA-PBE) on an optimized crystal structure of Fe5Sb3.

a b c (Å): 6.4038 6.6742 7.1180
angles (deg): 85.97 84.22 62.08
Fractional coordinates of all 16 atoms:
1 Fe 0.0000 0.0000 0.0000
2 Fe 0.0171 0.8666 0.6796
3 Fe 0.0866 0.3401 0.0270
4 Fe 0.2365 0.4455 0.6818
5 Fe 0.2680 0.5978 0.9809
6 Fe 0.3663 0.9051 0.1371
7 Fe 0.6427 0.4728 0.1347
8 Fe 0.6728 0.9188 0.5181
9 Fe 0.8067 0.6675 0.8218
10 Fe 0.8990 0.5088 0.5074
11 Sb 0.3402 0.0218 0.7851
12 Sb 0.3661 0.2798 0.3049
13 Sb 0.4280 0.6815 0.4596
14 Sb 0.6937 0.3183 0.7932
15 Sb 0.8305 0.7514 0.1735
16 Sb 0.9365 0.1315 0.3485

Size of the total moment, μB/atom: 1.42
E above lowest polymorph, kJ/mol of atoms: 0.0
DOS at the Fermi energy, states/eV/atom: 0.70
Mass density, Mg/m³: 8.0



VASP calculation (GGA-PBE) on an optimized crystal structure of FeSb2.

a b c (Å): 4.5597 4.5597 3.2605
angles (deg): 90.00 90.00 90.00
Fractional coordinates of all 3 atoms:
1 Fe 0.0000 0.0000 0.0000
2 Sb 0.0000 0.5000 0.5000
3 Sb 0.5000 0.0000 0.5000

Size of the total moment, μB/atom: 0.76
DOS at the Fermi energy, states/eV/atom: 1.40
Mass density, Mg/m³: 7.3
Calculated total energy, eV/atom: -5.189



VASP calculation (GGA-PBE) on an optimized crystal structure of Fe5Sb3.

a b c (Å): 6.5963 8.3148 4.4200
angles (deg): 90.00 90.00 90.00
Fractional coordinates of all 16 atoms:
1 Fe 0.0000 0.0000 0.0000
2 Fe 0.1928 0.5000 0.5000
3 Fe 0.2500 0.2500 0.0000
4 Fe 0.2500 0.7500 0.0000
5 Fe 0.3072 0.0000 0.5000
6 Fe 0.5000 0.5000 0.0000
7 Fe 0.6928 0.0000 0.5000
8 Fe 0.7500 0.2500 0.0000
9 Fe 0.7500 0.7500 0.0000
10 Fe 0.8072 0.5000 0.5000
11 Sb 0.0000 0.2042 0.5000
12 Sb 0.0000 0.5000 0.0000
13 Sb 0.0000 0.7958 0.5000
14 Sb 0.5000 0.0000 0.0000
15 Sb 0.5000 0.2958 0.5000
16 Sb 0.5000 0.7042 0.5000

Size of the total moment, μB/atom: 1.23
E above lowest polymorph, kJ/mol of atoms: 7.8
DOS at the Fermi energy, states/eV/atom: 1.00
Mass density, Mg/m³: 8.8



VASP calculation (GGA-PBE) on an optimized crystal structure of Fe5Sb4.

a b c (Å): 8.0097 8.0097 5.4439
angles (deg): 90.00 90.00 120.00
Fractional coordinates of all 18 atoms:
1 Fe 0.0000 0.3013 0.2500
2 Fe 0.0000 0.6987 0.7500
3 Fe 0.3013 0.0000 0.2500
4 Fe 0.3013 0.3013 0.7500
5 Fe 0.3333 0.6667 0.0000
6 Fe 0.3333 0.6667 0.5000
7 Fe 0.6667 0.3333 0.0000
8 Fe 0.6667 0.3333 0.5000
9 Fe 0.6987 0.0000 0.7500
10 Fe 0.6987 0.6987 0.2500
11 Sb 0.0000 0.0000 0.0000
12 Sb 0.0000 0.0000 0.5000
13 Sb 0.0000 0.3792 0.7500
14 Sb 0.0000 0.6208 0.2500
15 Sb 0.3792 0.0000 0.7500
16 Sb 0.3792 0.3792 0.2500
17 Sb 0.6208 0.0000 0.2500
18 Sb 0.6208 0.6208 0.7500

Size of the total moment, μB/atom: 1.22
DOS at the Fermi energy, states/eV/atom: 1.35
Mass density, Mg/m³: 8.4
Calculated total energy, eV/atom: -6.116